LaNd5Dy2 | PBE-GGA | relaxed

Summary:
Formation energy from the elements in eV/atom: 0.01
Distance to the lowest polymorph of the same formula in meV per atom: 0

Cell lengths 7.313, 14.631, 5.157 Å; angles 90.00, 90.00, 90.00 degrees
Space group Pbam (No. 55)
Asymmetric unit:
La: 0.000 0.000 0.000
Nd: 0.000 0.500 0.000
Nd: 0.001 0.251 0.000
Nd: 0.249 0.626 0.500
Dy: 0.249 0.874 0.500